Here is a geometry-optimized SrMg4Ni structure from the Alexandria database. Energies are from GGA-PBE.

a b c (Å): 5.864 5.864 5.864
angles (deg): 60.00 60.00 60.00
Positions (direct):
Mg: 0.623 0.130 0.623
Mg: 0.623 0.623 0.623
Mg: 0.130 0.623 0.623
Mg: 0.623 0.623 0.130
Sr: 0.000 0.000 0.000
Ni: 0.250 0.250 0.250

Output
Total moment = 0.000 μB per atom
Fermi-level density of states = 0.20 states/eV/atom
Energy of formation = 0.200 eV/atom
Excess energy over the best structure of this formula in the dataset = 313.5 meV per atom